No. 1
# RbAlOs2O8 | Alexandria via LeMat-Bulk | PBE-GGA | relaxed
data_RbAlOs2O8
_space_group_name_H-M_alt 'P -3'
_space_group_IT_number 147
_space_group_name_Hall '-P 3'
_cell_length_a 5.3410
_cell_length_b 5.3410
_cell_length_c 8.3321
_cell_angle_alpha 90.00
_cell_angle_beta 90.00
_cell_angle_gamma 120.00
loop_
_atom_site_label
_atom_site_fract_x
_atom_site_fract_y
_atom_site_fract_z
Rb1 0.0000 0.0000 0.0000
Al1 0.0000 0.0000 0.5000
Os1 0.3333 0.6667 0.7010
O1 0.0515 0.3100 0.6357
O2 0.3333 0.6667 0.9141
# Size of the total moment ... 4.002 Bohr magnetons per cell
# Energy relative to the elements, uncorrected ... -130.8 kJ per mole of atoms

=====

No. 2
# SiNiPH | Alexandria via LeMat-Bulk | PBE-GGA | relaxed
data_SiNiPH
_space_group_name_H-M_alt 'C 1 m 1'
_space_group_IT_number 8
_space_group_name_Hall 'C -2y'
_cell_length_a 6.621
_cell_length_b 3.638
_cell_length_c 4.553
_cell_angle_alpha 90.00
_cell_angle_beta 117.76
_cell_angle_gamma 90.00
loop_
_atom_site_label
_atom_site_fract_x
_atom_site_fract_y
_atom_site_fract_z
Si1 0.000 0.000 0.000
Ni1 0.095 0.500 0.786
P1 0.210 0.000 0.574
H1 0.299 0.500 0.140
# Distance to the lowest polymorph of the same formula ... 42.2 meV per atom
# Size of the total moment ... 0.000 Bohr magnetons per cell

=====

No. 3
# Tb4ScZn2 | Alexandria via LeMat-Bulk | PBE-GGA | relaxed
data_Tb4ScZn2
_space_group_name_H-M_alt 'R -3 m'
_space_group_IT_number 166
_space_group_name_Hall '-R 3 2"'
_cell_length_a 5.3010
_cell_length_b 5.3010
_cell_length_c 24.5587
_cell_angle_alpha 90.00
_cell_angle_beta 90.00
_cell_angle_gamma 120.00
loop_
_atom_site_label
_atom_site_fract_x
_atom_site_fract_y
_atom_site_fract_z
Tb1 0.0000 0.0000 0.1270
Tb2 0.0000 0.0000 0.2736
Sc1 0.0000 0.0000 0.5000
Zn1 0.0000 0.0000 0.3923
# Size of the total moment ... 0.000 Bohr magnetons per cell
# DFT formation energy ... 95 meV/atom

=====

No. 4
# Sm5Er2In | Alexandria via LeMat-Bulk | PBE-GGA | relaxed
data_Sm5Er2In
_space_group_name_H-M_alt 'I 4 m m'
_space_group_IT_number 107
_space_group_name_Hall 'I 4 -2'
_cell_length_a 7.808
_cell_length_b 7.808
_cell_length_c 8.197
_cell_angle_alpha 90.00
_cell_angle_beta 90.00
_cell_angle_gamma 90.00
loop_
_atom_site_label
_atom_site_fract_x
_atom_site_fract_y
_atom_site_fract_z
Sm1 0.000 0.000 0.000
Sm2 0.229 0.229 0.306
Er1 0.000 0.500 0.060
In1 0.000 0.000 0.584
# Distance to the lowest polymorph of the same formula ... 56.4 meV per atom
# Size of the total moment ... 0.000 Bohr magnetons per cell
# DFT formation energy ... -56 meV/atom

=====

No. 5
# MnCdPt2 | Alexandria via LeMat-Bulk | PBE-GGA | relaxed
data_MnCdPt2
_space_group_name_H-M_alt 'I -4 2 d'
_space_group_IT_number 122
_space_group_name_Hall 'I -4 2bw'
_cell_length_a 7.133
_cell_length_b 7.133
_cell_length_c 5.409
_cell_angle_alpha 90.00
_cell_angle_beta 90.00
_cell_angle_gamma 90.00
loop_
_atom_site_label
_atom_site_fract_x
_atom_site_fract_y
_atom_site_fract_z
Mn1 0.000 0.000 0.000
Cd1 0.000 0.000 0.500
Pt1 0.204 0.250 0.125
# Size of the total moment ... 0.001 Bohr magnetons per cell
# DFT formation energy ... 381 meV/atom

=====

No. 6
# Ca2CdSn9 | Alexandria via LeMat-Bulk | PBE-GGA | relaxed
data_Ca2CdSn9
_space_group_name_H-M_alt 'P 4/m m m'
_space_group_IT_number 123
_space_group_name_Hall '-P 4 2'
_cell_length_a 4.732
_cell_length_b 4.732
_cell_length_c 14.528
_cell_angle_alpha 90.00
_cell_angle_beta 90.00
_cell_angle_gamma 90.00
loop_
_atom_site_label
_atom_site_fract_x
_atom_site_fract_y
_atom_site_fract_z
Ca1 0.000 0.000 0.161
Cd1 0.000 0.000 0.500
Sn1 0.000 0.500 0.000
Sn2 0.000 0.500 0.335
Sn3 0.500 0.500 0.169
Sn4 0.500 0.500 0.500
# Size of the total moment ... 0.000 Bohr magnetons per cell
# DFT formation energy ... -212 meV/atom

=====

No. 7
# ScHg3Cl | Alexandria via LeMat-Bulk | PBE-GGA | relaxed
data_ScHg3Cl
_space_group_name_H-M_alt 'P m -3 m'
_space_group_IT_number 221
_space_group_name_Hall '-P 4 2 3'
_cell_length_a 5.491
_cell_length_b 5.491
_cell_length_c 5.491
_cell_angle_alpha 90.00
_cell_angle_beta 90.00
_cell_angle_gamma 90.00
loop_
_atom_site_label
_atom_site_fract_x
_atom_site_fract_y
_atom_site_fract_z
Sc1 0.000 0.000 0.000
Hg1 0.000 0.500 0.500
Cl1 0.500 0.500 0.500
# Distance to the lowest polymorph of the same formula ... 454.5 meV per atom
# Size of the total moment ... 1.262 Bohr magnetons per cell
# Energy relative to the elements, uncorrected ... 50.0 kJ per mole of atoms

=====

No. 8
# ZnSi2Sb2 | Alexandria via LeMat-Bulk | PBE-GGA | relaxed
data_ZnSi2Sb2
_space_group_name_H-M_alt 'P 4/m b m'
_space_group_IT_number 127
_space_group_name_Hall '-P 4 2ab'
_cell_length_a 7.476
_cell_length_b 7.476
_cell_length_c 3.782
_cell_angle_alpha 90.00
_cell_angle_beta 90.00
_cell_angle_gamma 90.00
loop_
_atom_site_label
_atom_site_fract_x
_atom_site_fract_y
_atom_site_fract_z
Zn1 0.000 0.000 0.000
Si1 0.127 0.373 0.000
Sb1 0.174 0.674 0.500
# Distance to the lowest polymorph of the same formula ... 114.3 meV per atom
# Size of the total moment ... 0.000 Bohr magnetons per cell
# Energy relative to the elements, uncorrected ... 41.8 kJ per mole of atoms

=====

No. 9
# Y2Zn2Si | Alexandria via LeMat-Bulk | PBE-GGA | relaxed
data_Y2Zn2Si
_space_group_name_H-M_alt 'I 4/m m m'
_space_group_IT_number 139
_space_group_name_Hall '-I 4 2'
_cell_length_a 3.553
_cell_length_b 3.553
_cell_length_c 17.653
_cell_angle_alpha 90.00
_cell_angle_beta 90.00
_cell_angle_gamma 90.00
loop_
_atom_site_label
_atom_site_fract_x
_atom_site_fract_y
_atom_site_fract_z
Y1 0.000 0.000 0.098
Zn1 0.000 0.500 0.250
Si1 0.000 0.000 0.500
# Distance to the lowest polymorph of the same formula ... 169.2 meV per atom
# Size of the total moment ... 0.000 Bohr magnetons per cell
# Energy relative to the elements, uncorrected ... -22.9 kJ per mole of atoms

=====

No. 10
# NiP2I8 | Alexandria via LeMat-Bulk | PBE-GGA | relaxed
data_NiP2I8
_space_group_name_H-M_alt 'P -1'
_space_group_IT_number 2
_space_group_name_Hall '-P 1'
_cell_length_a 7.159
_cell_length_b 7.297
_cell_length_c 11.785
_cell_angle_alpha 87.90
_cell_angle_beta 73.11
_cell_angle_gamma 69.87
loop_
_atom_site_label
_atom_site_fract_x
_atom_site_fract_y
_atom_site_fract_z
Ni1 0.000 0.000 0.000
P1 0.150 0.891 0.812
I1 0.011 0.968 0.353
I2 0.235 0.542 0.759
I3 0.284 0.732 0.046
I4 0.481 0.957 0.738
# Size of the total moment ... 0.000 Bohr magnetons per cell
# Energy relative to the elements, uncorrected ... -3.8 kJ per mole of atoms

=====

No. 11
# Pb3S2Cl2 | Alexandria via LeMat-Bulk | PBE-GGA | relaxed
data_Pb3S2Cl2
_space_group_name_H-M_alt 'C 1 2/m 1'
_space_group_IT_number 12
_space_group_name_Hall '-C 2y'
_cell_length_a 14.712
_cell_length_b 4.246
_cell_length_c 8.043
_cell_angle_alpha 90.00
_cell_angle_beta 108.43
_cell_angle_gamma 90.00
loop_
_atom_site_label
_atom_site_fract_x
_atom_site_fract_y
_atom_site_fract_z
Pb1 0.000 0.000 0.000
Pb2 0.233 0.000 0.705
S1 0.154 0.000 0.336
Cl1 0.111 0.500 0.899
# Size of the total moment ... 0.000 Bohr magnetons per cell
# Energy relative to the elements, uncorrected ... -74.7 kJ per mole of atoms

=====

No. 12
# MnBeIn2Fe | Alexandria via LeMat-Bulk | PBE-GGA | relaxed
data_MnBeIn2Fe
_space_group_name_H-M_alt 'P 4/m m m'
_space_group_IT_number 123
_space_group_name_Hall '-P 4 2'
_cell_length_a 4.511
_cell_length_b 4.511
_cell_length_c 3.908
_cell_angle_alpha 90.00
_cell_angle_beta 90.00
_cell_angle_gamma 90.00
loop_
_atom_site_label
_atom_site_fract_x
_atom_site_fract_y
_atom_site_fract_z
Mn1 0.000 0.000 0.000
Be1 0.000 0.000 0.500
In1 0.000 0.500 0.500
Fe1 0.500 0.500 0.000
# Size of the total moment ... 0.129 Bohr magnetons per cell
# DFT formation energy ... 1084 meV/atom